1.
First-principles (PBE-GGA) data for a relaxed structure of Pm2SmPuN4, as listed in the Alexandria database.

Geometry as CIF:
```
data_Pm2SmPuN4
_cell_length_a 6.162
_cell_length_b 3.573
_cell_length_c 6.166
_cell_angle_alpha 90.00
_cell_angle_beta 109.31
_cell_angle_gamma 90.00
_symmetry_space_group_name_H-M 'P 1 2/m 1'
_symmetry_Int_Tables_number 10
loop_
_symmetry_equiv_pos_as_xyz
'x,y,z'
'-x,-y,-z'
'-x,y,-z'
'x,-y,z'
loop_
_atom_site_label
_atom_site_type_symbol
_atom_site_fract_x
_atom_site_fract_y
_atom_site_fract_z
Pm1 Pm 0.000 0.000 0.000
Pm2 Pm 0.500 0.500 0.000
Sm1 Sm 0.000 0.500 0.500
Pu1 Pu 0.500 0.000 0.500
N1 N 0.258 0.000 0.740
N2 N 0.265 0.500 0.266
```

Formation energy without anion corrections (eV per atom): -1.401
Volume (A^3/atom): 16.01

2.
First-principles (PBE-GGA) data for a relaxed structure of Mg3Si4, as listed in the Alexandria database.

Geometry as CIF:
```
data_Mg3Si4
_cell_length_a 6.475
_cell_length_b 6.784
_cell_length_c 6.819
_cell_angle_alpha 109.25
_cell_angle_beta 96.16
_cell_angle_gamma 105.59
_symmetry_space_group_name_H-M 'P 1'
_symmetry_Int_Tables_number 1
loop_
_symmetry_equiv_pos_as_xyz
'x,y,z'
loop_
_atom_site_label
_atom_site_type_symbol
_atom_site_fract_x
_atom_site_fract_y
_atom_site_fract_z
Mg1 Mg 0.000 0.000 0.000
Mg2 Mg 0.008 0.389 0.794
Mg3 Mg 0.144 0.769 0.322
Mg4 Mg 0.376 0.442 0.151
Mg5 Mg 0.742 0.969 0.384
Mg6 Mg 0.755 0.607 0.573
Si1 Si 0.020 0.376 0.377
Si2 Si 0.236 0.075 0.712
Si3 Si 0.346 0.307 0.513
Si4 Si 0.415 0.046 0.174
Si5 Si 0.429 0.670 0.859
Si6 Si 0.567 0.967 0.732
Si7 Si 0.717 0.267 0.080
Si8 Si 0.754 0.613 0.016
```

Formation energy without anion corrections (eV per atom): 0.122
E above lowest polymorph (eV/atom): 0.069
Volume (A^3/atom): 19.00

3.
First-principles (PBE-GGA) data for a relaxed structure of BeZnCdIr, as listed in the Alexandria database.

Geometry as CIF:
```
data_BeZnCdIr
_cell_length_a 3.021
_cell_length_b 4.253
_cell_length_c 9.022
_cell_angle_alpha 90.00
_cell_angle_beta 90.00
_cell_angle_gamma 90.00
_symmetry_space_group_name_H-M 'I m m 2'
_symmetry_Int_Tables_number 44
loop_
_symmetry_equiv_pos_as_xyz
'x,y,z'
'-x,-y,z'
'-x,y,z'
'x,-y,z'
'x+1/2,y+1/2,z+1/2'
'-x+1/2,-y+1/2,z+1/2'
'-x+1/2,y+1/2,z+1/2'
'x+1/2,-y+1/2,z+1/2'
loop_
_atom_site_label
_atom_site_type_symbol
_atom_site_fract_x
_atom_site_fract_y
_atom_site_fract_z
Be1 Be 0.000 0.000 0.000
Zn1 Zn 0.000 0.500 0.760
Cd1 Cd 0.000 0.000 0.540
Ir1 Ir 0.000 0.500 0.314
```

E above lowest polymorph (eV/atom): 0.101
Energy relative to the elements (kcal/mol of atoms): -1.90
Volume (A^3/atom): 14.49

4.
First-principles (PBE-GGA) data for a relaxed structure of LaTbNd2Er2, as listed in the Alexandria database.

Geometry as CIF:
```
data_LaTbNd2Er2
_cell_length_a 7.015
_cell_length_b 16.413
_cell_length_c 3.542
_cell_angle_alpha 90.00
_cell_angle_beta 90.00
_cell_angle_gamma 90.00
_symmetry_space_group_name_H-M 'P n n m'
_symmetry_Int_Tables_number 58
loop_
_symmetry_equiv_pos_as_xyz
'x,y,z'
'-x,-y,-z'
'-x,-y,z'
'x,y,-z'
'x+1/2,-y+1/2,-z+1/2'
'-x+1/2,y+1/2,z+1/2'
'-x+1/2,y+1/2,-z+1/2'
'x+1/2,-y+1/2,z+1/2'
loop_
_atom_site_label
_atom_site_type_symbol
_atom_site_fract_x
_atom_site_fract_y
_atom_site_fract_z
La1 La 0.000 0.000 0.000
Tb1 Tb 0.000 0.500 0.500
Nd1 Nd 0.246 0.339 0.000
Er1 Er 0.249 0.153 0.500
```

Energy relative to the elements (kcal/mol of atoms): 3.49
Volume (A^3/atom): 33.98

5.
First-principles (PBE-GGA) data for a relaxed structure of TbZrSb, as listed in the Alexandria database.

Geometry as CIF:
```
data_TbZrSb
_cell_length_a 18.573
_cell_length_b 4.120
_cell_length_c 9.236
_cell_angle_alpha 90.00
_cell_angle_beta 93.40
_cell_angle_gamma 90.00
_symmetry_space_group_name_H-M 'C 1 2/m 1'
_symmetry_Int_Tables_number 12
loop_
_symmetry_equiv_pos_as_xyz
'x,y,z'
'-x,-y,-z'
'-x,y,-z'
'x,-y,z'
'x+1/2,y+1/2,z'
'-x+1/2,-y+1/2,-z'
'-x+1/2,y+1/2,-z'
'x+1/2,-y+1/2,z'
loop_
_atom_site_label
_atom_site_type_symbol
_atom_site_fract_x
_atom_site_fract_y
_atom_site_fract_z
Tb1 Tb 0.042 0.000 0.339
Tb2 Tb 0.097 0.500 0.858
Zr1 Zr 0.245 0.000 0.376
Zr2 Zr 0.247 0.000 0.871
Sb1 Sb 0.137 0.000 0.618
Sb2 Sb 0.140 0.000 0.101
```

Formation energy without anion corrections (eV per atom): -0.394
Volume (A^3/atom): 29.40